First-principles (PBE-GGA) data for a relaxed ZnReNF2 crystal, as listed in Alexandria via LeMat-Bulk.

Lattice parameters (Å, degrees): 4.254 4.254 3.801 90.00 90.00 90.00
Space group P4/mmm (No. 123)
Symmetry-distinct sites (fractional):
Zn1 0.000 0.000 0.000 (multiplicity 1)
Re1 0.500 0.500 0.500 (multiplicity 1)
N1 0.500 0.500 0.000 (multiplicity 1)
F1 0.000 0.500 0.500 (multiplicity 2)

***

First-principles (PBE-GGA) data for a relaxed ZnReNF2 crystal, as listed in Alexandria via LeMat-Bulk.

Lattice parameters (Å, degrees): 3.654 3.654 5.057 90.00 90.00 90.00
Space group P4/mmm (No. 123)
Symmetry-distinct sites (fractional):
Zn1 0.000 0.000 0.000 (multiplicity 1)
Re1 0.500 0.500 0.500 (multiplicity 1)
N1 0.000 0.000 0.500 (multiplicity 1)
F1 0.000 0.500 0.000 (multiplicity 2)

***

First-principles (PBE-GGA) data for a relaxed ZrReNF2 crystal, as listed in Alexandria via LeMat-Bulk.

Lattice parameters (Å, degrees): 4.237 4.237 3.874 90.00 90.00 90.00
Space group P4/mmm (No. 123)
Symmetry-distinct sites (fractional):
Zr1 0.000 0.000 0.000 (multiplicity 1)
Re1 0.500 0.500 0.500 (multiplicity 1)
N1 0.500 0.500 0.000 (multiplicity 1)
F1 0.000 0.500 0.500 (multiplicity 2)

***

First-principles (PBE-GGA) data for a relaxed ZrReNF2 crystal, as listed in Alexandria via LeMat-Bulk.

Lattice parameters (Å, degrees): 4.242 4.242 4.317 90.00 90.00 90.00
Space group P4/mmm (No. 123)
Symmetry-distinct sites (fractional):
Zr1 0.000 0.000 0.000 (multiplicity 1)
Re1 0.500 0.500 0.500 (multiplicity 1)
N1 0.000 0.000 0.500 (multiplicity 1)
F1 0.000 0.500 0.000 (multiplicity 2)

***

First-principles (PBE-GGA) data for a relaxed RhNF2 crystal, as listed in Alexandria via LeMat-Bulk.

Lattice parameters (Å, degrees): 5.489 5.489 5.489 90.00 90.00 90.00
Space group Fm-3m (No. 225)
Symmetry-distinct sites (fractional):
Rh1 0.000 0.000 0.000 (multiplicity 4)
N1 0.000 0.000 0.500 (multiplicity 4)
F1 0.250 0.250 0.250 (multiplicity 8)

***

First-principles (PBE-GGA) data for a relaxed RhNF3 crystal, as listed in Alexandria via LeMat-Bulk.

Lattice parameters (Å, degrees): 4.041 4.041 4.041 90.00 90.00 90.00
Space group Pm-3m (No. 221)
Symmetry-distinct sites (fractional):
Rh1 0.000 0.000 0.000 (multiplicity 1)
N1 0.500 0.500 0.500 (multiplicity 1)
F1 0.000 0.000 0.500 (multiplicity 3)

***

First-principles (PBE-GGA) data for a relaxed RhNF2 crystal, as listed in Alexandria via LeMat-Bulk.

Lattice parameters (Å, degrees): 2.6668 2.6668 21.9431 90.00 90.00 120.00
Space group R-3m (No. 166, hexagonal axes)
Symmetry-distinct sites (fractional):
Rh1 0.0000 0.0000 0.0000 (multiplicity 3)
N1 0.0000 0.0000 0.5000 (multiplicity 3)
F1 0.0000 0.0000 0.4207 (multiplicity 6)

***

First-principles (PBE-GGA) data for a relaxed RhN2F2 crystal, as listed in Alexandria via LeMat-Bulk.

Lattice parameters (Å, degrees): 4.778 4.778 4.999 90.00 90.00 90.00
Space group I4/mmm (No. 139)
Symmetry-distinct sites (fractional):
Rh1 0.000 0.000 0.000 (multiplicity 2)
N1 0.000 0.000 0.388 (multiplicity 4)
F1 0.000 0.500 0.250 (multiplicity 4)

***

First-principles (PBE-GGA) data for a relaxed RhN2F2 crystal, as listed in Alexandria via LeMat-Bulk.

Lattice parameters (Å, degrees): 5.031 5.031 3.962 90.00 90.00 90.00
Space group P4/mbm (No. 127)
Symmetry-distinct sites (fractional):
Rh1 0.000 0.000 0.000 (multiplicity 2)
N1 0.082 0.418 0.000 (multiplicity 4)
F1 0.234 0.734 0.500 (multiplicity 4)

***

First-principles (PBE-GGA) data for a relaxed RhNF3 crystal, as listed in Alexandria via LeMat-Bulk.

Lattice parameters (Å, degrees): 3.875 3.875 3.875 90.00 90.00 90.00
Space group Pm-3m (No. 221)
Symmetry-distinct sites (fractional):
Rh1 0.000 0.000 0.000 (multiplicity 1)
N1 0.500 0.500 0.500 (multiplicity 1)
F1 0.000 0.500 0.500 (multiplicity 3)

***

First-principles (PBE-GGA) data for a relaxed RhNF2 crystal, as listed in Alexandria via LeMat-Bulk.

Lattice parameters (Å, degrees): 8.155 8.155 3.632 90.00 90.00 90.00
Space group I-42d (No. 122)
Symmetry-distinct sites (fractional):
Rh1 0.000 0.000 0.000 (multiplicity 4)
N1 0.000 0.000 0.500 (multiplicity 4)
F1 0.055 0.750 0.125 (multiplicity 8)

***

First-principles (PBE-GGA) data for a relaxed RhNF2 crystal, as listed in Alexandria via LeMat-Bulk.

Lattice parameters (Å, degrees): 2.8673 2.8673 26.9561 90.00 90.00 120.00
Space group R-3m (No. 166, hexagonal axes)
Symmetry-distinct sites (fractional):
Rh1 0.0000 0.0000 0.0000 (multiplicity 3)
N1 0.0000 0.0000 0.5000 (multiplicity 3)
F1 0.0000 0.0000 0.0696 (multiplicity 6)

***

Calculated distance to the lowest polymorph of the same formula, 0.0; 652.2; 154.0; 0.0; 1251.9; 0.0; 1154.4; 0.0; 194.3; 223.4; 0.0; 978.3 meV/atom (same order as the records).